[1]
Computed, not measured: ReAsRu after structural relaxation at the PBE level of DFT.

abc: 5.373 5.373 5.373
angles: 147.95 147.95 45.96
Atoms (fractional coordinates):
Re 0.341 0.341 0.000
As 0.998 0.998 0.000
Ru 0.661 0.661 0.000

Computed properties:
Density in kg/m3: 13818
ΔE_f in eV/atom: 0.136
Energy above the lowest structure with this stoichiometry in meV per atom: 0
Space group: I4mm, No. 107

---

[2]
Computed, not measured: BaIn2Cu2 after structural relaxation at the PBE level of DFT.

abc: 8.540 8.540 3.202
angles: 90.00 90.00 90.00
Atoms (fractional coordinates):
Ba 0.000 0.000 0.000
Ba 0.500 0.500 0.000
Cu 0.163 0.663 0.500
Cu 0.663 0.837 0.500
Cu 0.837 0.337 0.500
Cu 0.337 0.163 0.500
In 0.373 0.873 0.000
In 0.873 0.627 0.000
In 0.627 0.127 0.000
In 0.127 0.373 0.000

Computed properties:
Density in kg/m3: 7025
ΔE_f in eV/atom: 0.120
Space group: P4/mbm, No. 127

---

[3]
Computed, not measured: Tl3Bi2PbS6 after structural relaxation at the PBE level of DFT.

abc: 4.160 8.671 9.644
angles: 105.71 102.46 90.00
Atoms (fractional coordinates):
Tl 0.500 0.500 0.000
Tl 0.834 0.167 0.669
Tl 0.166 0.833 0.331
Bi 0.834 0.668 0.668
Bi 0.166 0.332 0.332
Pb 0.500 0.000 0.000
S 0.336 0.894 0.673
S 0.673 0.563 0.347
S 0.664 0.106 0.327
S 0.010 0.246 0.021
S 0.990 0.754 0.979
S 0.327 0.437 0.653

Computed properties:
Density in kg/m3: 7279
Space group: C2/m, No. 12
ΔE_f (raw) in meV/atom: -381